(1)
Compound: CdTeRh2
Source: Alexandria
Functional: meta-GGA SCAN
Structure: single point on PBEsol structure Values from VASP.

Structure (Quantum ESPRESSO input):
```
&SYSTEM
  ibrav = 0, nat = 4, ntyp = 3
/
ATOMIC_SPECIES
Cd 112.41 Cd.upf
Rh 102.91 Rh.upf
Te 127.60 Te.upf
CELL_PARAMETERS angstrom
-2.6516 -3.4044 -1.4309
1.8063 -3.4670 -2.3208
0.3279 -4.1027 1.9312
ATOMIC_POSITIONS crystal
Cd 0.0000 0.0000 0.0000
Rh 0.2500 0.2500 0.2500
Rh 0.7500 0.7500 0.7500
Te 0.5000 0.5000 0.5000
```

Computed properties:
- Magnetization: 0.0 μB per cell
- Space-group type: No. 225
- Uncorrected formation energy: -0.07 eV per atom
- Total energy: -135.50 eV per cell

(2)
Compound: TaAsRh2
Source: Alexandria
Functional: meta-GGA SCAN
Structure: single point on PBEsol structure Values from VASP.

Structure (Quantum ESPRESSO input):
```
&SYSTEM
  ibrav = 0, nat = 4, ntyp = 3
/
ATOMIC_SPECIES
Rh 102.91 Rh.upf
Ta 180.95 Ta.upf
As 74.92 As.upf
CELL_PARAMETERS angstrom
-1.5356 0.1108 2.4134
-3.4714 -2.2999 -2.1032
2.9613 -3.6339 0.3533
ATOMIC_POSITIONS crystal
Rh 0.7544 0.7544 0.5087
Rh 0.2456 0.2456 0.4913
Ta 0.5000 0.0000 0.0000
As 0.0000 0.5000 0.0000
```

Computed properties:
- E_form: -365 meV/atom
- Magnetization: 0.0 μB per cell
- Space-group type: No. 12
- Total energy: -155.78 eV per cell